Record 1
A plane-wave DFT calculation with GGA-PBE was carried out for an optimized crystal structure of CsBH2.

Computed properties:
Its space-group type is No. 225.

Cell lengths 4.765, 4.765, 4.765 Å; angles 60.00, 60.00, 60.00 degrees
Positions (direct):
Cs: 0.000 0.000 0.000
B: 0.500 0.500 0.500
H: 0.250 0.250 0.250
H: 0.750 0.750 0.750


Record 2
A plane-wave DFT calculation with GGA-PBE was carried out for an optimized crystal structure of CsB2H6.

Computed properties:
Its space-group type is No. 225.

Cell lengths 5.110, 5.110, 5.110 Å; angles 60.00, 60.00, 60.00 degrees
Positions (direct):
Cs: 0.000 0.000 0.000
B: 0.250 0.250 0.250
B: 0.750 0.750 0.750
H: 0.370 0.370 0.630
H: 0.370 0.630 0.370
H: 0.370 0.630 0.630
H: 0.630 0.370 0.370
H: 0.630 0.370 0.630
H: 0.630 0.630 0.370


| no. | uncorrected energy (eV per atom) |
| --- | --- |
| 1 | -1.98 |
| 2 | -2.14 |